[1]
# SrTiBe2H

SrTiBe2H after structural relaxation (PBE, the Alexandria database).

Computed properties:
The value obtained for the spin magnetization is 0.48 μB per cell. Its density of states at the Fermi level is 4.1 states/eV/cell. For the final energy, the calculation gives -3.465 eV per atom.

Geometry as CIF:
```
data_SrTiBe2H
_cell_length_a 4.8445
_cell_length_b 4.8445
_cell_length_c 3.3706
_cell_angle_alpha 90.00
_cell_angle_beta 90.00
_cell_angle_gamma 90.00
_symmetry_space_group_name_H-M 'P 4/m m m'
_symmetry_Int_Tables_number 123
_symmetry_space_group_name_Hall '-P 4 2'
loop_
_atom_site_label
_atom_site_type_symbol
_atom_site_fract_x
_atom_site_fract_y
_atom_site_fract_z
_atom_site_occupancy
Sr1 Sr 0.0000 0.0000 0.0000 1
Ti1 Ti 0.5000 0.5000 0.0000 1
Be1 Be 0.0000 0.5000 0.5000 1
H1 H 0.5000 0.5000 0.5000 1
```

=====

[2]
# SrBeZnH2

SrBeZnH2 after structural relaxation (PBE, the Alexandria database).

Computed properties:
The value obtained for the spin magnetization is 0.00 μB per cell. Its density of states at the Fermi level is 1.9 states/eV/cell. For the final energy, the calculation gives -2.347 eV per atom.

Geometry as CIF:
```
data_SrBeZnH2
_cell_length_a 4.0939
_cell_length_b 4.0939
_cell_length_c 4.3745
_cell_angle_alpha 90.00
_cell_angle_beta 90.00
_cell_angle_gamma 90.00
_symmetry_space_group_name_H-M 'P 4/m m m'
_symmetry_Int_Tables_number 123
_symmetry_space_group_name_Hall '-P 4 2'
loop_
_atom_site_label
_atom_site_type_symbol
_atom_site_fract_x
_atom_site_fract_y
_atom_site_fract_z
_atom_site_occupancy
Sr1 Sr 0.0000 0.0000 0.0000 1
Be1 Be 0.5000 0.5000 0.0000 1
Zn1 Zn 0.5000 0.5000 0.5000 1
H1 H 0.0000 0.5000 0.5000 1
```

=====

[3]
# Ta2BeH

Ta2BeH after structural relaxation (PBE, the Alexandria database).

Computed properties:
The value obtained for the spin magnetization is 0.00 μB per cell. Its density of states at the Fermi level is 4.1 states/eV/cell. For the energy above the lowest structure with this stoichiometry, the calculation gives 0 meV/atom.

Geometry as CIF:
```
data_Ta2BeH
_cell_length_a 5.8406
_cell_length_b 5.8406
_cell_length_c 5.7535
_cell_angle_alpha 90.00
_cell_angle_beta 90.00
_cell_angle_gamma 90.00
_symmetry_space_group_name_H-M 'I -4 2 d'
_symmetry_Int_Tables_number 122
_symmetry_space_group_name_Hall 'I -4 2bw'
loop_
_atom_site_label
_atom_site_type_symbol
_atom_site_fract_x
_atom_site_fract_y
_atom_site_fract_z
_atom_site_occupancy
Ta1 Ta 0.1869 0.2500 0.1250 1
Be1 Be 0.0000 0.0000 0.5000 1
H1 H 0.0000 0.0000 0.0000 1
```